No. 1
# TlB2I, optimized geometry, DFT PBE-GGA
data_TlB2I
_chemical_formula_sum 'Tl4 B8 I4'
_space_group_name_H-M_alt 'F m -3 m'
_space_group_IT_number 225
_space_group_name_Hall '-F 4 2 3'
_cell_length_a 6.878
_cell_length_b 6.878
_cell_length_c 6.878
_cell_angle_alpha 90.00
_cell_angle_beta 90.00
_cell_angle_gamma 90.00
loop_
_atom_site_label
_atom_site_fract_x
_atom_site_fract_y
_atom_site_fract_z
Tl1 0.000 0.000 0.000
B1 0.250 0.250 0.250
I1 0.000 0.000 0.500
# D(E_F) = 12.8 states/eV/cell
# E_form (uncorrected) = 1975 meV per atom
# final energy = -2.343 eV/atom
# energy above the most stable polymorph in this dataset = 0.555 eV/atom
# total magnetic moment = 0.000 μB/atom

No. 2
# TlB3I, optimized geometry, DFT PBE-GGA
data_TlB3I
_chemical_formula_sum 'Tl1 B3 I1'
_space_group_name_H-M_alt 'P m -3 m'
_space_group_IT_number 221
_space_group_name_Hall '-P 4 2 3'
_cell_length_a 4.566
_cell_length_b 4.566
_cell_length_c 4.566
_cell_angle_alpha 90.00
_cell_angle_beta 90.00
_cell_angle_gamma 90.00
loop_
_atom_site_label
_atom_site_fract_x
_atom_site_fract_y
_atom_site_fract_z
Tl1 0.000 0.000 0.000
B1 0.000 0.500 0.500
I1 0.500 0.500 0.500
# D(E_F) = 4.1 states/eV/cell
# E_form (uncorrected) = 2454 meV per atom
# final energy = -2.336 eV/atom
# energy above the most stable polymorph in this dataset = 0.144 eV/atom
# total magnetic moment = 0.000 μB/atom

No. 3
# TlB3I, optimized geometry, DFT PBE-GGA
data_TlB3I
_chemical_formula_sum 'Tl1 B3 I1'
_space_group_name_H-M_alt 'P m -3 m'
_space_group_IT_number 221
_space_group_name_Hall '-P 4 2 3'
_cell_length_a 4.759
_cell_length_b 4.759
_cell_length_c 4.759
_cell_angle_alpha 90.00
_cell_angle_beta 90.00
_cell_angle_gamma 90.00
loop_
_atom_site_label
_atom_site_fract_x
_atom_site_fract_y
_atom_site_fract_z
Tl1 0.000 0.000 0.000
B1 0.000 0.000 0.500
I1 0.500 0.500 0.500
# D(E_F) = 2.6 states/eV/cell
# E_form (uncorrected) = 2310 meV per atom
# final energy = -2.480 eV/atom
# energy above the most stable polymorph in this dataset = 0.000 eV/atom
# total magnetic moment = 0.000 μB/atom

No. 4
# Tm2BI, optimized geometry, DFT PBE-GGA
data_Tm2BI
_chemical_formula_sum 'Tm6 B3 I3'
_space_group_name_H-M_alt 'R -3 m'
_space_group_IT_number 166
_space_group_name_Hall '-R 3 2"'
_cell_length_a 3.9042
_cell_length_b 3.9042
_cell_length_c 22.1016
_cell_angle_alpha 90.00
_cell_angle_beta 90.00
_cell_angle_gamma 120.00
loop_
_atom_site_label
_atom_site_fract_x
_atom_site_fract_y
_atom_site_fract_z
Tm1 0.0000 0.0000 0.2234
B1 0.0000 0.0000 0.5000
I1 0.0000 0.0000 0.0000
# D(E_F) = 6.3 states/eV/cell
# E_form (uncorrected) = -604 meV per atom
# final energy = -4.897 eV/atom
# total magnetic moment = 0.000 μB/atom

No. 5
# Tm4BI5, optimized geometry, DFT PBE-GGA
data_Tm4BI5
_chemical_formula_sum 'Tm8 B2 I10'
_space_group_name_H-M_alt 'C 1 2/m 1'
_space_group_IT_number 12
_cell_length_a 21.321
_cell_length_b 3.998
_cell_length_c 8.476
_cell_angle_alpha 90.00
_cell_angle_beta 90.28
_cell_angle_gamma 90.00
loop_
_space_group_symop_operation_xyz
'x,y,z'
'-x,-y,-z'
'-x,y,-z'
'x,-y,z'
'x+1/2,y+1/2,z'
'-x+1/2,-y+1/2,-z'
'-x+1/2,y+1/2,-z'
'x+1/2,-y+1/2,z'
loop_
_atom_site_label
_atom_site_fract_x
_atom_site_fract_y
_atom_site_fract_z
Tm1 0.000 0.000 0.194
Tm2 0.114 0.500 0.001
B1 0.000 0.500 0.000
I1 0.000 0.500 0.500
I2 0.148 0.000 0.257
I3 0.148 0.000 0.747
# D(E_F) = 10.7 states/eV/cell
# E_form (uncorrected) = -1030 meV per atom
# final energy = -4.262 eV/atom
# energy above the most stable polymorph in this dataset = 0.010 eV/atom
# total magnetic moment = 0.000 μB/atom

No. 6
# Tm4BI5, optimized geometry, DFT PBE-GGA
data_Tm4BI5
_chemical_formula_sum 'Tm8 B2 I10'
_space_group_name_H-M_alt 'C 1 2/m 1'
_space_group_IT_number 12
_cell_length_a 18.999
_cell_length_b 4.005
_cell_length_c 8.545
_cell_angle_alpha 90.00
_cell_angle_beta 102.48
_cell_angle_gamma 90.00
loop_
_space_group_symop_operation_xyz
'x,y,z'
'-x,-y,-z'
'-x,y,-z'
'x,-y,z'
'x+1/2,y+1/2,z'
'-x+1/2,-y+1/2,-z'
'-x+1/2,y+1/2,-z'
'x+1/2,-y+1/2,z'
loop_
_atom_site_label
_atom_site_fract_x
_atom_site_fract_y
_atom_site_fract_z
Tm1 0.001 0.000 0.308
Tm2 0.132 0.500 0.567
B1 0.000 0.500 0.500
I1 0.000 0.500 0.000
I2 0.164 0.000 0.839
I3 0.170 0.000 0.327
# D(E_F) = 10.4 states/eV/cell
# E_form (uncorrected) = -1040 meV per atom
# final energy = -4.272 eV/atom
# energy above the most stable polymorph in this dataset = 0.000 eV/atom
# total magnetic moment = 0.000 μB/atom

No. 7
# V3BI, optimized geometry, DFT PBE-GGA
data_V3BI
_chemical_formula_sum 'V3 B1 I1'
_space_group_name_H-M_alt 'P m -3 m'
_space_group_IT_number 221
_space_group_name_Hall '-P 4 2 3'
_cell_length_a 4.877
_cell_length_b 4.877
_cell_length_c 4.877
_cell_angle_alpha 90.00
_cell_angle_beta 90.00
_cell_angle_gamma 90.00
loop_
_atom_site_label
_atom_site_fract_x
_atom_site_fract_y
_atom_site_fract_z
V1 0.000 0.000 0.500
B1 0.500 0.500 0.500
I1 0.000 0.000 0.000
# D(E_F) = 11.0 states/eV/cell
# E_form (uncorrected) = 2403 meV per atom
# final energy = -4.714 eV/atom
# energy above the most stable polymorph in this dataset = 1.916 eV/atom
# total magnetic moment = 1.444 μB/atom

No. 8
# V3BI, optimized geometry, DFT PBE-GGA
data_V3BI
_chemical_formula_sum 'V3 B1 I1'
_space_group_name_H-M_alt 'P m -3 m'
_space_group_IT_number 221
_space_group_name_Hall '-P 4 2 3'
_cell_length_a 4.151
_cell_length_b 4.151
_cell_length_c 4.151
_cell_angle_alpha 90.00
_cell_angle_beta 90.00
_cell_angle_gamma 90.00
loop_
_atom_site_label
_atom_site_fract_x
_atom_site_fract_y
_atom_site_fract_z
V1 0.000 0.000 0.500
B1 0.000 0.000 0.000
I1 0.500 0.500 0.500
# D(E_F) = 4.0 states/eV/cell
# E_form (uncorrected) = 487 meV per atom
# final energy = -6.630 eV/atom
# energy above the most stable polymorph in this dataset = 0.000 eV/atom
# total magnetic moment = 0.000 μB/atom